First-principles (PBE) data for crystalline La2Dy6Ho at its relaxed geometry, as listed in the Alexandria database.

Output
**V**: 593.9 Å³ per cell
**E**: -4.56 eV per atom
**Energy of formation from the pure elements**: 0.117 eV/atom
**Fermi-level density of states**: 1.35 states/eV/atom
**Offset from the most stable computed form**: 0 meV per atom

a = 9.6522 Å, b = 9.6522 Å, c = 6.6003 Å
α = 80.96°, β = 80.96°, γ = 96.35°
Element x y z (fractional)
Dy (0.5398, 0.9427, 0.2682)
Ho (0.8843, 0.1157, 0.2500)
Dy (0.4602, 0.0573, 0.7318)
Dy (0.7779, 0.9604, 0.8128)
La (0.6714, 0.6159, 0.1211)
La (0.3286, 0.3841, 0.8789)
Dy (0.6551, 0.2739, 0.0031)
Dy (0.3449, 0.7261, 0.9969)
Dy (0.0573, 0.4602, 0.2318)
La (0.6159, 0.6714, 0.6211)
Dy (0.9604, 0.7779, 0.3128)
Dy (0.0396, 0.2221, 0.6872)
La (0.3841, 0.3286, 0.3789)
Ho (0.1157, 0.8843, 0.7500)
Dy (0.2739, 0.6551, 0.5031)
Dy (0.7261, 0.3449, 0.4969)
Dy (0.9427, 0.5398, 0.7682)
Dy (0.2221, 0.0396, 0.1872)